# Cs4Tb3HfSe8

A relaxed structure of Cs4Tb3HfSe8 (PBE, the Alexandria database).

POSCAR file:
```
Cs4Tb3HfSe8
1.0
8.385 0.000 0.000
0.000 9.644 0.877
-4.192 -4.191 5.934
Se Hf Tb Cs
8 1 3 4
direct
0.781 0.317 0.561 Se
0.270 0.311 0.540 Se
0.219 0.683 0.439 Se
0.730 0.689 0.460 Se
0.781 0.317 0.036 Se
0.219 0.683 0.964 Se
0.255 0.317 0.036 Se
0.745 0.683 0.964 Se
0.000 0.500 0.000 Hf
0.500 0.500 0.500 Tb
0.000 0.500 0.500 Tb
0.500 0.500 0.000 Tb
0.000 0.000 0.500 Cs
0.000 0.000 0.000 Cs
0.500 0.000 0.000 Cs
0.500 0.000 0.500 Cs
```

Space group: No. 166
Crystal system: trigonal
Magnetic moment, μB/atom: 0.000
Formation energy from raw total energies, eV per atom: -1.589